[1]
CaGeBi2 | GGA-PBE | optimized geometry

- energy of formation (eV per formula unit) = 0.605

Cell: 3.894 3.894 10.502 Å, 79.32 79.32 60.00°
Element x y z (fractional)
Bi: 0.105 0.105 0.686
Ca: 0.000 0.000 0.000
Bi: 0.895 0.895 0.314
Ge: 0.500 0.500 0.500


[2]
CaGeBi2 | GGA-PBE | optimized geometry

- energy of formation (eV per formula unit) = -1.116

Cell: 4.775 4.843 4.843 Å, 90.00 90.00 90.00°
Element x y z (fractional)
Bi: 0.000 0.500 0.000
Ge: 0.500 0.000 0.000
Ca: 0.500 0.500 0.500
Bi: 0.000 0.000 0.500


[3]
Ca2GeBi | GGA-PBE | optimized geometry

- energy of formation (eV per formula unit) = -2.155
- offset from the most stable computed form (eV per atom) = 0.0699

Cell: 5.419 5.419 5.419 Å, 60.00 60.00 60.00°
Element x y z (fractional)
Bi: 0.500 0.500 0.500
Ge: 0.000 0.000 0.000
Ca: 0.750 0.750 0.750
Ca: 0.250 0.250 0.250


[4]
Ca2GeBi | GGA-PBE | optimized geometry

- energy of formation (eV per formula unit) = -2.434
- offset from the most stable computed form (eV per atom) = 0.0000

Cell: 3.541 3.541 8.801 Å, 90.00 90.00 90.00°
Element x y z (fractional)
Ca: 0.000 0.000 0.780
Ca: 0.000 0.000 0.220
Ge: 0.500 0.500 0.000
Bi: 0.500 0.500 0.500


[5]
Ca3GeBi2 | GGA-PBE | optimized geometry

- energy of formation (eV per formula unit) = -3.752

Cell: 4.628 12.494 12.978 Å, 90.00 90.00 90.00°
Element x y z (fractional)
Ge: 0.750 0.865 0.884
Ca: 0.250 0.042 0.887
Bi: 0.250 0.708 0.514
Ca: 0.750 0.617 0.947
Bi: 0.250 0.003 0.311
Ca: 0.250 0.721 0.248
Bi: 0.750 0.997 0.689
Bi: 0.250 0.792 0.014
Ge: 0.250 0.365 0.616
Ca: 0.750 0.883 0.447
Ca: 0.250 0.458 0.387
Ca: 0.250 0.383 0.053
Ca: 0.750 0.279 0.752
Ca: 0.750 0.958 0.113
Bi: 0.250 0.497 0.811
Ca: 0.250 0.779 0.748
Ca: 0.750 0.221 0.252
Ge: 0.250 0.135 0.116
Bi: 0.750 0.503 0.189
Bi: 0.750 0.292 0.486
Ca: 0.750 0.542 0.613
Ge: 0.750 0.635 0.384
Bi: 0.750 0.208 0.986
Ca: 0.250 0.117 0.553


[6]
Ca2GeBiH | GGA-PBE | optimized geometry

- DFT total energy (eV per atom) = -2.658

Cell: 6.074 5.458 6.074 Å, 90.00 90.00 90.00°
Element x y z (fractional)
Bi: 0.000 0.000 0.000
Ca: 0.500 0.000 0.000
Ca: 0.000 0.000 0.500
H: 0.500 0.500 0.500
Ge: 0.000 0.500 0.000


[7]
CaGeBiH2 | GGA-PBE | optimized geometry

- DFT total energy (eV per atom) = -3.260

Cell: 4.291 5.840 4.291 Å, 90.00 90.00 90.00°
Element x y z (fractional)
H: 0.000 0.000 0.500
H: 0.500 0.000 0.000
Bi: 0.000 0.500 0.000
Ge: 0.000 0.000 0.000
Ca: 0.500 0.500 0.500


[8]
CaHgGeBi | GGA-PBE | optimized geometry

- energy of formation (eV per formula unit) = -0.888

Cell: 5.324 5.324 5.324 Å, 60.00 60.00 60.00°
Element x y z (fractional)
Ge: 0.250 0.250 0.250
Bi: 0.000 0.000 0.000
Ca: 0.500 0.500 0.500
Hg: 0.750 0.750 0.750


[9]
CaLaGe2Bi | GGA-PBE | optimized geometry

- energy of formation (eV per formula unit) = 1.443

Cell: 5.570 6.082 5.570 Å, 90.00 90.00 90.00°
Element x y z (fractional)
Ge: 0.500 0.000 0.000
Bi: 0.000 0.500 0.000
Ca: 0.500 0.500 0.500
La: 0.000 0.000 0.000
Ge: 0.000 0.000 0.500


[10]
Ca2GeBiN | GGA-PBE | optimized geometry

- formation energy (no corrections) (kcal/mol of atoms) = -12.8

Cell: 4.953 4.953 4.463 Å, 90.00 90.00 90.00°
Element x y z (fractional)
Ca: 0.500 0.000 0.000
Ge: 0.000 0.000 0.500
N: 0.000 0.000 0.000
Ca: 0.000 0.500 0.000
Bi: 0.500 0.500 0.500


[11]
CaNb2GeBi | GGA-PBE | optimized geometry

- energy of formation (eV per formula unit) = 3.206

Cell: 4.905 5.663 4.905 Å, 90.00 90.00 90.00°
Element x y z (fractional)
Nb: 0.000 0.000 0.500
Bi: 0.000 0.500 0.000
Ge: 0.000 0.000 0.000
Ca: 0.500 0.500 0.500
Nb: 0.500 0.000 0.000


[12]
Ca2GeBiO6 | GGA-PBE | optimized geometry

- formation energy (no corrections) (kcal/mol of atoms) = -44.5

Cell: 5.064 5.423 5.423 Å, 90.00 90.00 90.00°
Element x y z (fractional)
Ca: 0.000 0.500 0.000
O: 0.724 0.768 0.768
O: 0.724 0.768 0.232
O: 0.148 0.500 0.500
Bi: 0.567 0.500 0.500
O: 0.244 0.000 0.000
Ca: 0.000 0.000 0.500
Ge: 0.592 0.000 0.000
O: 0.724 0.232 0.768
O: 0.724 0.232 0.232


Number 1: mass density 6.54 g/cm3. Number 2: mass density 7.87 g/cm3. Number 3: mass density 5.34 g/cm3. Number 4: mass density 5.44 g/cm3. Number 5: mass density 5.41 g/cm3. Number 6: mass density 2.99 g/cm3. Number 7: mass density 5.00 g/cm3. Number 8: mass density 8.13 g/cm3. Number 9: mass density 4.69 g/cm3. Number 10: mass density 5.70 g/cm3. Number 11: mass density 6.18 g/cm3. Number 12: mass density 5.11 g/cm3.